Record 1
DFT (PBE) results for CsNa2SbF6 after structural relaxation.

Output
SG: R3, No. 146
E_tot, eV per atom: -4.504
Calculated volume, Å³ per atom: 18.0
D(E_F), states/eV/cell: 0.00

```
CsNa2SbF6
1.0
6.296 0.001 0.001
3.149 5.452 0.000
3.149 1.818 5.241
F Na Cs Sb
6 2 1 1
direct
0.679 0.211 0.783 F
0.617 0.281 0.193 F
0.327 0.679 0.783 F
0.910 0.617 0.193 F
0.280 0.910 0.193 F
0.211 0.327 0.783 F
0.009 0.009 0.974 Na
0.532 0.532 0.405 Na
0.782 0.782 0.653 Cs
0.314 0.314 0.057 Sb
```

***

Record 2
DFT (PBE) results for InRhOF2 after structural relaxation.

Output
SG: P4/mmm, No. 123
Calculated volume, Å³ per atom: 15.3
E above lowest polymorph, meV/atom: 0.0
D(E_F), states/eV/cell: 2.47

```
InRhOF2
1.0
4.507 0.000 0.000
0.000 4.507 0.000
0.000 0.000 3.758
Rh F In O
1 2 1 1
direct
0.000 0.000 0.000 Rh
0.500 0.000 0.000 F
0.000 0.500 0.000 F
0.500 0.500 0.500 In
0.000 0.000 0.500 O
```

***

Record 3
DFT (PBE) results for FeCuHg after structural relaxation.

Output
SG: I4mm, No. 107
Calculated volume, Å³ per atom: 15.3
E above lowest polymorph, meV/atom: 0.0
D(E_F), states/eV/cell: 1.69
Energy relative to the elements, eV/atom: 0.34

```
FeCuHg
1.0
-5.176 -2.766 0.302
-4.128 -2.928 2.986
-1.850 2.048 0.846
Cu Fe Hg
1 1 1
direct
0.014 0.014 0.986 Cu
0.652 0.652 0.348 Fe
0.334 0.334 0.666 Hg
```

***

Record 4
DFT (PBE) results for YCo4W after structural relaxation.

Output
SG: F-43m, No. 216
Calculated volume, Å³ per atom: 13.5
D(E_F), states/eV/cell: 9.33
Energy relative to the elements, eV/atom: 0.12

```
YCo4W
1.0
-4.130 -2.391 -0.927
-4.134 1.356 2.170
-3.517 2.136 -2.589
W Y Co
1 1 4
direct
0.250 0.250 0.250 W
0.000 0.000 0.000 Y
0.625 0.625 0.625 Co
0.625 0.625 0.125 Co
0.125 0.625 0.625 Co
0.625 0.125 0.625 Co
```

***

> What is the formula in the first record?

CsNa2SbF6

***

Please write out number 1 again, unchanged.
DFT (PBE) results for CsNa2SbF6 after structural relaxation.

Output
SG: R3, No. 146
E_tot, eV per atom: -4.504
Calculated volume, Å³ per atom: 18.0
D(E_F), states/eV/cell: 0.00

```
CsNa2SbF6
1.0
6.296 0.001 0.001
3.149 5.452 0.000
3.149 1.818 5.241
F Na Cs Sb
6 2 1 1
direct
0.679 0.211 0.783 F
0.617 0.281 0.193 F
0.327 0.679 0.783 F
0.910 0.617 0.193 F
0.280 0.910 0.193 F
0.211 0.327 0.783 F
0.009 0.009 0.974 Na
0.532 0.532 0.405 Na
0.782 0.782 0.653 Cs
0.314 0.314 0.057 Sb
```

***

> What is the formula in the third record?

FeCuHg

***

> Among the records above, which one has the lowest D(E_F)?

CsNa2SbF6